# HoRe2W GGA-PBE optimized geometry
data_HoRe2W
_chemical_formula_sum 'Ho4 Re8 W4'
_cell_length_a 6.489
_cell_length_b 8.336
_cell_length_c 5.310
_cell_angle_alpha 90.00
_cell_angle_beta 90.00
_cell_angle_gamma 90.00
_space_group_name_H-M_alt 'C m c m'
_space_group_IT_number 63
_space_group_name_Hall '-C 2c 2'
loop_
_atom_site_label
_atom_site_fract_x
_atom_site_fract_y
_atom_site_fract_z
Ho1 0.000 0.000 0.000
Re1 0.185 0.295 0.250
W1 0.000 0.402 0.750
# formation energy = 419.4 meV/atom
# total DFT energy (no corrections) = -0.748 Ry/atom